[1]
{
  "formula": "Cs2Rb8Li",
  "functional": "GGA-PBE",
  "state": "optimized geometry",
  "final_energy_ev_per_cell": -10.8,
  "crystal_system": "monoclinic",
  "ef_mev_per_atom": 54,
  "lattice_angstrom": [[12.871, -3.856, 0.000], [12.871, 3.856, 0.000], [-0.960, 0.000, 9.729]],
  "species": ["Cs", "Cs", "Rb", "Rb", "Rb", "Rb", "Rb", "Rb", "Rb", "Rb", "Li"],
  "frac_coords": [[0.160, 0.160, 0.163], [0.840, 0.840, 0.837], [0.028, 0.028, 0.757], [0.220, 0.220, 0.651], [0.356, 0.356, 0.128], [0.418, 0.418, 0.604], [0.582, 0.582, 0.396], [0.644, 0.644, 0.872], [0.780, 0.780, 0.349], [0.972, 0.972, 0.243], [0.500, 0.500, 0.000]]
}


[2]
{
  "formula": "Be2HgBr",
  "functional": "GGA-PBE",
  "state": "optimized geometry",
  "final_energy_ev_per_cell": -15.5,
  "relative_energy_ev_per_atom": 0.237,
  "crystal_system": "orthorhombic",
  "lattice_angstrom": [[3.088, 0.000, 0.000], [0.000, 3.351, 0.000], [0.000, 0.000, 15.598]],
  "species": ["Be", "Be", "Be", "Be", "Hg", "Hg", "Br", "Br"],
  "frac_coords": [[0.000, 0.000, 0.000], [0.000, 0.500, 0.382], [0.500, 0.000, 0.882], [0.500, 0.500, 0.500], [0.000, 0.000, 0.568], [0.500, 0.500, 0.068], [0.000, 0.500, 0.808], [0.500, 0.000, 0.308]]
}


[3]
{
  "formula": "Hf4MnCu",
  "functional": "GGA-PBE",
  "state": "optimized geometry",
  "final_energy_ev_per_cell": -53.5,
  "crystal_system": "tetragonal",
  "ef_mev_per_atom": -78,
  "lattice_angstrom": [[3.184, 0.000, 0.000], [0.000, 3.184, 0.000], [0.000, 0.000, 10.837]],
  "species": ["Hf", "Hf", "Hf", "Hf", "Mn", "Cu"],
  "frac_coords": [[0.000, 0.000, 0.144], [0.000, 0.000, 0.856], [0.500, 0.500, 0.339], [0.500, 0.500, 0.661], [0.500, 0.500, 0.000], [0.000, 0.000, 0.500]]
}


Calculated values (states/eV/atom) of DOS(E_F) for the records, taken in order: 0.93; 0.43; 1.33.